1.
The following is a PBE calculation of a relaxed structure of Rb2AlSn, from the Alexandria database.

**Spin magnetization**: 0.0 μB per formula unit
**Energy relative to the elements**: 0.40 eV per atom
**Fermi-level density of states**: 5.2 states/eV per cell
**Energy above the lowest structure with this stoichiometry**: 264 meV per atom
**Symmetry**: Fm-3m

Structure (POSCAR):
```
Rb2AlSn
1.0
4.3522 -2.7610 3.2638
-1.4997 -4.2785 4.0819
1.3672 -5.8485 -1.0691
Sn Rb Al
1 2 1
Direct
0.5000 0.5000 0.5000
0.2500 0.2500 0.2500
0.7500 0.7500 0.7500
0.0000 0.0000 0.0000
```

2.
The following is a PBE calculation of a relaxed structure of Rb2AlSn, from the Alexandria database.

**Spin magnetization**: 0.0 μB per formula unit
**Energy relative to the elements**: 0.13 eV per atom
**Fermi-level density of states**: 3.7 states/eV per cell
**Energy above the lowest structure with this stoichiometry**: 0 meV per atom
**Symmetry**: I-42d

Structure (POSCAR):
```
Rb2AlSn
1.0
-10.7858 -8.1374 3.6453
7.6663 -5.5414 10.3131
-2.4044 -4.9946 8.5983
Sn Rb Al
2 4 2
Direct
0.0000 0.0000 0.0000
0.7500 0.2500 0.5000
0.3862 0.1250 0.2500
0.3638 0.6250 0.2500
0.3750 0.6138 0.7500
0.8750 0.6362 0.7500
0.5000 0.5000 0.0000
0.2500 0.7500 0.5000
```

3.
The following is a PBE calculation of a relaxed structure of Rb3Al2Sn4, from the Alexandria database.

**Spin magnetization**: 0.0 μB per formula unit
**Energy relative to the elements**: -0.10 eV per atom
**Fermi-level density of states**: 3.9 states/eV per cell
**Symmetry**: C2/c

Structure (POSCAR):
```
Rb3Al2Sn4
1.0
-3.5544 -4.2877 4.4085
-7.6041 -4.6416 -5.2813
2.0005 -9.8280 -2.5819
Rb Al Sn
6 4 8
Direct
0.9077 0.9851 0.2162
0.5923 0.7838 0.0149
0.0923 0.0149 0.7838
0.4077 0.2162 0.9851
0.2500 0.4638 0.5362
0.7500 0.5362 0.4638
0.4285 0.1480 0.4173
0.0715 0.5827 0.8520
0.5715 0.8520 0.5827
0.9285 0.4173 0.1480
0.3572 0.9108 0.3684
0.1428 0.6316 0.0892
0.6428 0.0892 0.6316
0.8572 0.3684 0.9108
0.0287 0.1865 0.3982
0.4713 0.6018 0.8135
0.9713 0.8135 0.6018
0.5287 0.3982 0.1865
```